Entry 1:
VASP calculation (PBE-GGA) on an optimized crystal structure of Ce3Er4Te8.

```
Ce3Er4Te8
1.0
7.6680 -0.1677 -4.2051
-4.9460 7.2453 -0.2303
-0.1640 0.1486 8.7727
Ce Er Te
3 4 8
direct
0.5000 0.5000 0.0000
0.5000 0.0000 0.5000
0.5000 0.5000 0.5000
0.5000 0.0000 0.0000
0.0000 0.5000 0.0000
0.0000 0.0000 0.0000
0.0000 0.0000 0.5000
0.5013 0.2458 0.2458
0.0000 0.7489 0.2511
0.9908 0.2473 0.2473
0.5000 0.7547 0.2453
0.5000 0.2453 0.7547
0.0092 0.7527 0.7527
0.0000 0.2511 0.7489
0.4987 0.7542 0.7542
```

Computed properties:
theoretical density	7.324	g/cm³
total magnetization	0.2527	μB per atom
formation energy without anion corrections	-1338.6	meV/atom
uncorrected energy	-0.39819	Ry per atom

Entry 2:
VASP calculation (PBE-GGA) on an optimized crystal structure of CeEr2Te.

```
CeEr2Te
1.0
3.8111 0.0000 0.0000
1.9055 3.3005 0.0000
1.9055 1.1002 9.9392
Ce Er Te
1 2 1
direct
0.4997 0.4997 0.5008
0.0716 0.0716 0.7851
0.2620 0.2620 0.2141
0.6667 0.6667 0.9999
```

Computed properties:
theoretical density	7.999	g/cm³
total magnetization	0.4703	μB per atom
formation energy without anion corrections	-430.2	meV/atom
distance to the lowest polymorph of the same formula	0.073	eV/atom
uncorrected energy	-0.36606	Ry per atom

Entry 3:
VASP calculation (PBE-GGA) on an optimized crystal structure of CeEr6Te8.

```
CeEr6Te8
1.0
-2.6933 -4.9302 6.5505
5.1297 -6.1921 3.1329
3.5560 0.8855 7.8128
Ce Er Te
1 6 8
direct
0.0000 0.0000 0.0000
0.0000 0.5000 0.5000
0.5000 0.0000 0.0000
0.5000 0.5000 0.0000
0.0000 0.0000 0.5000
0.0000 0.5000 0.0000
0.5000 0.0000 0.5000
0.7500 0.7500 0.7500
0.2500 0.2500 0.2500
0.7374 0.2626 0.2626
0.2626 0.7374 0.7374
0.2626 0.2626 0.7374
0.7374 0.7374 0.2626
0.7374 0.2626 0.7374
0.2626 0.7374 0.2626
```

Computed properties:
theoretical density	7.909	g/cm³
total magnetization	0.0889	μB per atom
formation energy without anion corrections	-1299.5	meV/atom
distance to the lowest polymorph of the same formula	0.000	eV/atom
uncorrected energy	-0.38188	Ry per atom

Entry 4:
VASP calculation (PBE-GGA) on an optimized crystal structure of CeEr2Te.

```
CeEr2Te
1.0
-4.2927 1.4256 1.2347
0.1382 -2.8901 3.8173
1.9217 3.5312 2.6040
Te Ce Er
1 1 2
direct
0.5000 0.0000 0.0000
0.5000 0.5000 0.5000
0.0000 0.0000 0.5000
0.0000 0.5000 0.0000
```

Computed properties:
theoretical density	9.296	g/cm³
total magnetization	0.1771	μB per atom
formation energy without anion corrections	-422.8	meV/atom
distance to the lowest polymorph of the same formula	0.080	eV/atom
uncorrected energy	-0.36551	Ry per atom

Entry 5:
VASP calculation (PBE-GGA) on an optimized crystal structure of Ce2ErTe3.

```
Ce2ErTe3
1.0
6.2738 0.0000 0.0000
0.0000 8.7628 0.0016
-3.1369 -2.1920 6.7176
Ce Er Te
4 2 6
direct
0.6707 0.5854 0.3417
0.6710 0.0854 0.3417
0.3290 0.9146 0.6583
0.3293 0.4146 0.6583
0.9993 0.7500 0.0000
0.0007 0.2500 0.0000
0.5006 0.2500 0.0000
0.4994 0.7500 0.0000
0.1584 0.0791 0.3166
0.8418 0.4209 0.6834
0.1582 0.5791 0.3166
0.8416 0.9209 0.6834
```

Computed properties:
theoretical density	7.466	g/cm³
total magnetization	0.4060	μB per atom
formation energy without anion corrections	-1318.0	meV/atom
distance to the lowest polymorph of the same formula	0.006	eV/atom
uncorrected energy	-0.41359	Ry per atom

Entry 6:
VASP calculation (PBE-GGA) on an optimized crystal structure of Ce2ErTe5.

```
Ce2ErTe5
1.0
5.3315 0.0000 0.0000
0.0000 7.4768 0.0000
0.0000 0.0000 7.4768
Ce Er Te
2 1 5
direct
0.5000 0.5000 0.0000
0.5000 0.0000 0.5000
0.0000 0.0000 0.0000
0.0000 0.7211 0.7211
0.0000 0.2789 0.7211
0.0000 0.7211 0.2789
0.5000 0.0000 0.0000
0.0000 0.2789 0.2789
```

Computed properties:
theoretical density	6.048	g/cm³
total magnetization	0.2902	μB per atom
formation energy without anion corrections	-688.4	meV/atom
uncorrected energy	-0.34587	Ry per atom